Compound: PuTh2Se6
Source: Alexandria via LeMat-Bulk
Functional: GGA-PBE
Structure: optimized geometry

Values from the calculation:
- symmetry = P4_2/mnm
- uncorrected formation energy (eV per atom) = -1.4236
- size of the total moment (μB per cell) = 8.03
- calculated density (g/cm³) = 6.56

Cell lengths 6.7206, 6.7206, 13.2475 Å; angles 90.00, 90.00, 90.00 degrees
Closest atoms and distances in Å follow each position.
Fractional coordinates of all 18 atoms:
Pu (0.0000, 0.0000, 0.0000)  6 Se 2.84-2.87
Pu (0.5000, 0.5000, 0.5000)  6 Se 2.84-2.87
Th (0.0000, 0.0000, 0.3337)  6 Se 2.90-2.92
Th (0.0000, 0.0000, 0.6663)  6 Se 2.90-2.92
Th (0.5000, 0.5000, 0.1663)  6 Se 2.90-2.92
Th (0.5000, 0.5000, 0.8337)  6 Se 2.90-2.92
Se (0.1926, 0.1926, 0.1636)  1 Pu 2.84, 2 Th 2.90-2.92
Se (0.1926, 0.1926, 0.8364)  1 Pu 2.84, 2 Th 2.90-2.92
Se (0.1985, 0.1985, 0.5000)  1 Pu 2.87, 2 Th 2.90
Se (0.3015, 0.6985, 0.0000)  1 Pu 2.87, 2 Th 2.90
Se (0.3074, 0.6926, 0.3364)  1 Pu 2.84, 2 Th 2.90-2.92
Se (0.3074, 0.6926, 0.6636)  1 Pu 2.84, 2 Th 2.90-2.92
Se (0.6926, 0.3074, 0.3364)  1 Pu 2.84, 2 Th 2.90-2.92
Se (0.6926, 0.3074, 0.6636)  1 Pu 2.84, 2 Th 2.90-2.92
Se (0.6985, 0.3015, 0.0000)  1 Pu 2.87, 2 Th 2.90
Se (0.8015, 0.8015, 0.5000)  1 Pu 2.87, 2 Th 2.90
Se (0.8074, 0.8074, 0.1636)  1 Pu 2.84, 2 Th 2.90-2.92
Se (0.8074, 0.8074, 0.8364)  1 Pu 2.84, 2 Th 2.90-2.92



Compound: Ac2TbCd4
Source: Alexandria via LeMat-Bulk
Functional: GGA-PBE
Structure: optimized geometry

Values from the calculation:
- symmetry = I4/mmm
- formation enthalpy at 0 K (eV per atom) = -0.162
- size of the total moment (μB per cell) = 0.00
- calculated density (g/cm³) = 7.74

Cell lengths 8.3151, 8.3151, 8.3151 Å; angles 140.77, 140.77, 56.69 degrees
Closest atoms and distances in Å follow each position.
Fractional coordinates of all 7 atoms:
Ac (0.2353, 0.2353, 0.0000)  8 Cd 3.40-3.66
Ac (0.7647, 0.7647, 0.0000)  8 Cd 3.40-3.66
Tb (0.5000, 0.5000, 0.0000)  8 Cd 3.17
Cd (0.1031, 0.6031, 0.5000)  1 Cd 3.02, 2 Tb 3.17
Cd (0.3969, 0.8969, 0.5000)  1 Cd 3.02, 2 Tb 3.17
Cd (0.6031, 0.1031, 0.5000)  1 Cd 3.02, 2 Tb 3.17
Cd (0.8969, 0.3969, 0.5000)  1 Cd 3.02, 2 Tb 3.17



Compound: Gd2AlCl
Source: Alexandria via LeMat-Bulk
Functional: GGA-PBE
Structure: optimized geometry

Values from the calculation:
- symmetry = R-3m
- uncorrected formation energy (eV per atom) = -0.7967
- size of the total moment (μB per cell) = 13.76
- ΔE to the lowest computed polymorph (eV per formula unit) = 0.11
- calculated density (g/cm³) = 6.26

Cell lengths 8.6172, 8.6172, 8.6172 Å; angles 24.93, 24.93, 24.93 degrees
Closest atoms and distances in Å follow each position.
Fractional coordinates of all 4 atoms:
Gd (0.2493, 0.2493, 0.2493)  3 Cl 2.98, 3 Al 3.01
Gd (0.7507, 0.7507, 0.7507)  3 Cl 2.98, 3 Al 3.01
Al (0.0000, 0.0000, 0.0000)  6 Gd 3.01
Cl (0.5000, 0.5000, 0.5000)  6 Gd 2.98



Compound: ZnTc2Se
Source: Alexandria via LeMat-Bulk
Functional: GGA-PBE
Structure: optimized geometry

Values from the calculation:
- symmetry = Imm2
- uncorrected formation energy (eV per atom) = 0.2384
- size of the total moment (μB per cell) = 0.00
- ΔE to the lowest computed polymorph (eV per formula unit) = 0.75
- calculated density (g/cm³) = 9.16

Cell lengths 5.6193, 5.6193, 5.6193 Å; angles 148.56, 137.89, 53.48 degrees
Closest atoms and distances in Å follow each position.
Fractional coordinates of all 4 atoms:
Zn (0.0000, 0.0000, 0.0000)  6 Tc 2.58-2.76
Tc (0.3128, 0.8128, 0.5000)  4 Se 2.61, 2 Zn 2.76, 2 Tc 2.85
Tc (0.5526, 0.5526, 0.0000)  2 Se 2.50, 4 Zn 2.58
Se (0.7499, 0.2499, 0.5000)  6 Tc 2.50-2.61



Compound: Ca2SiGe3Ir4
Source: Alexandria via LeMat-Bulk
Functional: GGA-PBE
Structure: optimized geometry

Values from the calculation:
- symmetry = P-4m2
- uncorrected formation energy (eV per atom) = -0.6898
- size of the total moment (μB per cell) = 0.00
- calculated density (g/cm³) = 10.03

Cell lengths 4.2120, 4.2120, 10.2224 Å; angles 90.00, 90.00, 90.00 degrees
Closest atoms and distances in Å follow each position.
Fractional coordinates of all 10 atoms:
Ca (0.0000, 0.5000, 0.2480)  6 Ge 3.22-3.30, 8 Ir 3.23-3.33, 2 Si 3.30
Ca (0.5000, 0.0000, 0.7520)  6 Ge 3.22-3.30, 8 Ir 3.23-3.33, 2 Si 3.30
Si (0.5000, 0.5000, 0.0000)  4 Ir 2.46
Ge (0.0000, 0.0000, 0.0000)  4 Ir 2.46
Ge (0.0000, 0.5000, 0.6311)  5 Ir 2.49-2.50
Ge (0.5000, 0.0000, 0.3689)  5 Ir 2.49-2.50
Ir (0.0000, 0.0000, 0.5000)  4 Ge 2.50
Ir (0.0000, 0.5000, 0.8752)  3 Ge 2.46-2.49, 2 Si 2.46
Ir (0.5000, 0.0000, 0.1248)  2 Si 2.46, 3 Ge 2.46-2.49
Ir (0.5000, 0.5000, 0.5000)  4 Ge 2.50



Compound: LaY2Ga6
Source: Alexandria via LeMat-Bulk
Functional: GGA-PBE
Structure: optimized geometry

Values from the calculation:
- symmetry = P6/mmm
- formation enthalpy at 0 K (eV per atom) = -0.664
- size of the total moment (μB per cell) = 0.00
- ΔE to the lowest computed polymorph (eV per formula unit) = 0.00
- calculated density (g/cm³) = 6.12

Cell lengths 7.3641, 7.3641, 4.2494 Å; angles 90.00, 90.00, 120.00 degrees
Closest atoms and distances in Å follow each position.
Fractional coordinates of all 9 atoms:
La (0.0000, 0.0000, 0.0000)  12 Ga 3.26
Y (0.3333, 0.6667, 0.0000)  12 Ga 3.24
Y (0.6667, 0.3333, 0.0000)  12 Ga 3.24
Ga (0.0000, 0.3354, 0.5000)  3 Ga 2.42-2.47
Ga (0.0000, 0.6646, 0.5000)  3 Ga 2.42-2.47
Ga (0.3354, 0.0000, 0.5000)  3 Ga 2.42-2.47
Ga (0.3354, 0.3354, 0.5000)  3 Ga 2.42-2.47
Ga (0.6646, 0.0000, 0.5000)  3 Ga 2.42-2.47
Ga (0.6646, 0.6646, 0.5000)  3 Ga 2.42-2.47



Compound: Al3GaNi4
Source: Alexandria via LeMat-Bulk
Functional: GGA-PBE
Structure: optimized geometry

Values from the calculation:
- symmetry = P4/mmm
- formation enthalpy at 0 K (eV per atom) = -0.584
- size of the total moment (μB per cell) = 0.00
- calculated density (g/cm³) = 6.58

Cell lengths 2.8990, 2.8990, 11.5763 Å; angles 90.00, 90.00, 90.00 degrees
Closest atoms and distances in Å follow each position.
Fractional coordinates of all 8 atoms:
Al (0.0000, 0.0000, 0.0000)  8 Ni 2.51
Al (0.0000, 0.0000, 0.2488)  8 Ni 2.50-2.51
Al (0.0000, 0.0000, 0.7512)  8 Ni 2.50-2.51
Ga (0.0000, 0.0000, 0.5000)  8 Ni 2.52
Ni (0.5000, 0.5000, 0.1244)  8 Al 2.51
Ni (0.5000, 0.5000, 0.3731)  4 Al 2.50, 4 Ga 2.52
Ni (0.5000, 0.5000, 0.6269)  4 Al 2.50, 4 Ga 2.52
Ni (0.5000, 0.5000, 0.8756)  8 Al 2.51



Compound: ZrSnSe2N
Source: Alexandria via LeMat-Bulk
Functional: GGA-PBE
Structure: optimized geometry

Values from the calculation:
- symmetry = P4/mmm
- uncorrected formation energy (eV per atom) = 0.4637
- size of the total moment (μB per cell) = 0.00
- ΔE to the lowest computed polymorph (eV per formula unit) = 3.82
- calculated density (g/cm³) = 5.83

Cell lengths 5.3052, 5.3052, 3.8638 Å; angles 90.00, 90.00, 90.00 degrees
Closest atoms and distances in Å follow each position.
Fractional coordinates of all 5 atoms:
Zr (0.0000, 0.0000, 0.0000)  8 Se 3.28
Sn (0.5000, 0.5000, 0.5000)  2 N 1.93
Se (0.0000, 0.5000, 0.5000)  2 Sn 2.65
Se (0.5000, 0.0000, 0.5000)  2 Sn 2.65
N (0.5000, 0.5000, 0.0000)  2 Sn 1.93



Compound: Pm3DyTh
Source: Alexandria via LeMat-Bulk
Functional: GGA-PBE
Structure: optimized geometry

Values from the calculation:
- symmetry = Amm2
- formation enthalpy at 0 K (eV per atom) = 0.415
- size of the total moment (μB per cell) = 0.00
- ΔE to the lowest computed polymorph (eV per formula unit) = 1.09
- calculated density (g/cm³) = 7.49

Cell lengths 3.4492, 8.8606, 8.8606 Å; angles 42.79, 90.00, 90.00 degrees
Closest atoms and distances in Å follow each position.
Fractional coordinates of all 5 atoms:
Pm (0.0000, 0.0000, 0.0000)  2 Dy 3.31, 6 Pm 3.45-3.56
Pm (0.5000, 0.0732, 0.5983)  2 Pm 3.07-3.39, 1 Dy 3.20
Pm (0.5000, 0.5983, 0.0732)  2 Pm 3.07-3.39, 1 Dy 3.20
Dy (0.5000, 0.1714, 0.1714)  4 Pm 3.20-3.31, 2 Dy 3.45
Th (0.0000, 0.6505, 0.6505)  2 Th 3.45, 4 Dy 3.68, 4 Pm 3.83



Compound: CaSm2Al6
Source: Alexandria via LeMat-Bulk
Functional: GGA-PBE
Structure: optimized geometry

Values from the calculation:
- symmetry = P6/mmm
- formation enthalpy at 0 K (eV per atom) = -0.403
- size of the total moment (μB per cell) = 0.00
- calculated density (g/cm³) = 4.19

Cell lengths 8.0029, 8.0029, 3.5946 Å; angles 90.00, 90.00, 120.00 degrees
Closest atoms and distances in Å follow each position.
Fractional coordinates of all 9 atoms:
Ca (0.0000, 0.0000, 0.0000)  12 Al 3.22, 2 Ca 3.59
Sm (0.3333, 0.6667, 0.0000)  12 Al 3.22, 2 Sm 3.59
Sm (0.6667, 0.3333, 0.0000)  12 Al 3.22, 2 Sm 3.59
Al (0.0000, 0.3337, 0.5000)  3 Al 2.66-2.67
Al (0.0000, 0.6663, 0.5000)  3 Al 2.66-2.67
Al (0.3337, 0.0000, 0.5000)  3 Al 2.66-2.67
Al (0.3337, 0.3337, 0.5000)  3 Al 2.66-2.67
Al (0.6663, 0.0000, 0.5000)  3 Al 2.66-2.67
Al (0.6663, 0.6663, 0.5000)  3 Al 2.66-2.67



Compound: W2AuSe
Source: Alexandria via LeMat-Bulk
Functional: GGA-PBE
Structure: optimized geometry

Values from the calculation:
- symmetry = C2/m
- uncorrected formation energy (eV per atom) = 0.6390
- size of the total moment (μB per cell) = 0.00
- calculated density (g/cm³) = 15.80

Cell lengths 4.4823, 4.4823, 5.5016 Å; angles 99.84, 99.84, 38.48 degrees
Closest atoms and distances in Å follow each position.
Fractional coordinates of all 4 atoms:
W (0.2470, 0.2470, 0.2351)  3 Se 2.69, 3 Au 2.76-2.79, 4 W 2.95-2.99
W (0.7530, 0.7530, 0.7649)  3 Se 2.69, 3 Au 2.76-2.79, 4 W 2.95-2.99
Au (0.0000, 0.0000, 0.5000)  6 W 2.76-2.79, 2 Au 2.95
Se (0.5000, 0.5000, 0.0000)  6 W 2.69, 2 Se 2.95